The following is a DFT calculation (PBE) of an optimized crystal structure of Dy4TlPbN.

Cell: 8.725 8.725 6.683 Å, 90.00 90.00 134.97°
Fractional positions:
Dy (0.000, 0.500, 0.000)
Dy (0.000, 0.500, 0.500)
Dy (0.087, 0.913, 0.750)
Dy (0.408, 0.592, 0.750)
Dy (0.500, 0.000, 0.000)
Dy (0.500, 0.000, 0.500)
Dy (0.592, 0.408, 0.250)
Dy (0.913, 0.087, 0.250)
Tl (0.110, 0.890, 0.250)
Tl (0.890, 0.110, 0.750)
Pb (0.394, 0.606, 0.250)
Pb (0.606, 0.394, 0.750)
N (0.252, 0.748, 0.750)
N (0.748, 0.252, 0.250)

Calculated values
* symmetry: Cmcm, No. 63
* ρ: 9924 kg/m3
* E_form (uncorrected): -0.792 eV/atom